No. 1
Density functional theory data (PBEsol) for a relaxed structure of CuSnSe2N.

Magnetization, μB/cell: 1.4
Formation energy (no corrections), eV per atom: 0.529
Excess energy over the best structure of this formula in the dataset, eV/atom: 0.000
D(E_F), states/eV per atom: 0.704

a = 5.006 Å, b = 5.006 Å, c = 3.611 Å
α = 90.00°, β = 90.00°, γ = 90.00°
Element x y z (fractional)
Cu: 0.000 0.000 0.000
Sn: 0.500 0.500 0.500
Se: 0.000 0.500 0.000
Se: 0.500 0.000 0.000
N: 0.000 0.000 0.500

=====

No. 2
Density functional theory data (PBEsol) for a relaxed structure of ScPaO4.

Magnetization, μB/cell: 0.0
Formation energy (no corrections), eV per atom: -3.648
D(E_F), states/eV per atom: 0.000

a = 3.695 Å, b = 3.695 Å, c = 5.147 Å
α = 90.00°, β = 90.00°, γ = 90.00°
Element x y z (fractional)
Sc: 0.000 0.000 0.000
Pa: 0.500 0.500 0.500
O: 0.000 0.500 0.248
O: 0.000 0.500 0.752
O: 0.500 0.000 0.248
O: 0.500 0.000 0.752

=====

No. 3
Density functional theory data (PBEsol) for a relaxed structure of In2CoRu.

ΔE_f, kcal/mol of atoms: 10.0
Magnetization, μB/cell: 1.9
D(E_F), states/eV per atom: 1.431

a = 4.480 Å, b = 4.480 Å, c = 4.480 Å
α = 60.00°, β = 60.00°, γ = 60.00°
Element x y z (fractional)
In: 0.000 0.000 0.000
In: 0.250 0.250 0.250
Co: 0.500 0.500 0.500
Ru: 0.750 0.750 0.750

=====

No. 4
Density functional theory data (PBEsol) for a relaxed structure of TaBRu2Pt.

ΔE_f, kcal/mol of atoms: 61.0
Magnetization, μB/cell: 0.0
D(E_F), states/eV per atom: 1.437

a = 4.638 Å, b = 4.638 Å, c = 4.764 Å
α = 90.00°, β = 90.00°, γ = 90.00°
Element x y z (fractional)
Ta: 0.000 0.000 0.000
B: 0.500 0.500 0.000
Ru: 0.000 0.500 0.500
Ru: 0.500 0.000 0.500
Pt: 0.000 0.000 0.500

=====

No. 5
Density functional theory data (PBEsol) for a relaxed structure of Zn2Cr3GaSe8.

Magnetization, μB/cell: 9.0
Formation energy (no corrections), eV per atom: -0.530
D(E_F), states/eV per atom: 0.223

a = 7.408 Å, b = 7.408 Å, c = 7.408 Å
α = 59.87°, β = 59.87°, γ = 59.87°
Element x y z (fractional)
Zn: 0.124 0.124 0.124
Zn: 0.876 0.876 0.876
Cr: 0.000 0.500 0.500
Cr: 0.500 0.000 0.500
Cr: 0.500 0.500 0.000
Ga: 0.500 0.500 0.500
Se: 0.256 0.256 0.721
Se: 0.256 0.721 0.256
Se: 0.260 0.260 0.260
Se: 0.279 0.744 0.744
Se: 0.721 0.256 0.256
Se: 0.740 0.740 0.740
Se: 0.744 0.279 0.744
Se: 0.744 0.744 0.279

=====

No. 6
Density functional theory data (PBEsol) for a relaxed structure of Ti20Al3Si9.

Magnetization, μB/cell: 0.0
Formation energy (no corrections), eV per atom: -0.674
D(E_F), states/eV per atom: 0.627

a = 7.450 Å, b = 5.101 Å, c = 12.932 Å
α = 90.00°, β = 90.03°, γ = 90.00°
Element x y z (fractional)
Ti: 0.000 0.000 0.000
Ti: 0.018 0.500 0.499
Ti: 0.134 0.000 0.625
Ti: 0.137 0.000 0.372
Ti: 0.254 0.253 0.833
Ti: 0.254 0.747 0.833
Ti: 0.256 0.251 0.169
Ti: 0.256 0.749 0.169
Ti: 0.383 0.500 0.620
Ti: 0.385 0.500 0.373
Ti: 0.498 0.000 0.496
Ti: 0.518 0.500 0.999
Ti: 0.637 0.000 0.125
Ti: 0.642 0.000 0.879
Ti: 0.756 0.252 0.329
Ti: 0.756 0.748 0.329
Ti: 0.764 0.253 0.669
Ti: 0.764 0.747 0.669
Ti: 0.883 0.500 0.125
Ti: 0.885 0.500 0.874
Al: 0.364 0.000 0.000
Al: 0.459 0.000 0.698
Al: 0.861 0.000 0.498
Si: 0.061 0.500 0.305
Si: 0.066 0.500 0.694
Si: 0.154 0.500 0.001
Si: 0.455 0.000 0.302
Si: 0.560 0.500 0.802
Si: 0.561 0.500 0.194
Si: 0.656 0.500 0.499
Si: 0.955 0.000 0.195
Si: 0.956 0.000 0.804

=====

No. 7
Density functional theory data (PBEsol) for a relaxed structure of InC5.

ΔE_f, kcal/mol of atoms: 27.1
Magnetization, μB/cell: 0.0
D(E_F), states/eV per atom: 0.320

a = 3.726 Å, b = 3.726 Å, c = 7.590 Å
α = 98.27°, β = 98.27°, γ = 42.89°
Element x y z (fractional)
In: 0.000 0.000 0.000
C: 0.214 0.214 0.671
C: 0.257 0.257 0.862
C: 0.573 0.573 0.234
C: 0.632 0.632 0.396
C: 0.690 0.690 0.580

=====

No. 8
Density functional theory data (PBEsol) for a relaxed structure of BSbTe2S.

Magnetization, μB/cell: 0.0
Formation energy (no corrections), eV per atom: 1.363
D(E_F), states/eV per atom: 1.032

a = 5.245 Å, b = 5.245 Å, c = 5.032 Å
α = 90.00°, β = 90.00°, γ = 90.00°
Element x y z (fractional)
B: 0.000 0.000 0.000
Sb: 0.500 0.500 0.000
Te: 0.000 0.500 0.500
Te: 0.500 0.000 0.500
S: 0.500 0.500 0.500

=====

no.,theoretical density (Mg/m³)
1,6.50
2,8.03
3,10.17
4,9.55
5,5.72
6,4.36
7,4.10
8,5.04